No. 1
Entry from the Alexandria database: a relaxed structure of TiGaMo3 (PBE-GGA).

Lattice parameters (Å, degrees): 4.5648 4.5648 4.5648 90.00 90.00 90.00
Closest atoms and distances in Å follow each position.
Fractional coordinates of all 5 atoms:
Ti1 0.0000 0.0000 0.0000  6 Mo 2.28
Ga1 0.5000 0.5000 0.5000  12 Mo 3.23
Mo1 0.0000 0.0000 0.5000  2 Ti 2.28
Mo2 0.0000 0.5000 0.0000  2 Ti 2.28
Mo3 0.5000 0.0000 0.0000  2 Ti 2.28

density: 7.08 g/cm³
total magnetic moment: 0.0 μB per cell
space-group type: Pm-3m, No. 221



No. 2
Entry from the Alexandria database: a relaxed structure of Mg2ScPd6 (PBE-GGA).

Lattice parameters (Å, degrees): 6.2050 6.2050 6.2050 135.94 106.32 90.02
Closest atoms and distances in Å follow each position.
Fractional coordinates of all 9 atoms:
Mg1 0.1610 0.1610 0.0000  8 Pd 2.67-2.75, 1 Mg 2.82, 1 Sc 2.97
Mg2 0.8390 0.8390 0.0000  8 Pd 2.67-2.75, 1 Mg 2.82, 1 Sc 2.97
Sc1 0.5000 0.5000 0.0000  8 Pd 2.71-2.74, 2 Mg 2.97
Pd1 0.0267 0.3306 0.6961  1 Sc 2.71, 3 Mg 2.71-2.75, 7 Pd 2.84-2.97
Pd2 0.3045 0.0000 0.3045  2 Mg 2.67, 2 Sc 2.74, 7 Pd 2.88-2.91
Pd3 0.3655 0.6694 0.6961  1 Sc 2.71, 3 Mg 2.71-2.75, 7 Pd 2.84-2.97
Pd4 0.6345 0.3306 0.3039  1 Sc 2.71, 3 Mg 2.71-2.75, 7 Pd 2.84-2.97
Pd5 0.6955 0.0000 0.6955  2 Mg 2.67, 2 Sc 2.74, 7 Pd 2.88-2.91
Pd6 0.9733 0.6694 0.3039  1 Sc 2.71, 3 Mg 2.71-2.75, 7 Pd 2.84-2.97

density: 8.00 g/cm³
total magnetic moment: 0.0 μB per cell
space-group type: Immm, No. 71



No. 3
Entry from the Alexandria database: a relaxed structure of TbNd4Sn2 (PBE-GGA).

Lattice parameters (Å, degrees): 10.6669 10.6669 10.6669 28.77 28.77 28.77
Closest atoms and distances in Å follow each position.
Fractional coordinates of all 7 atoms:
Tb1 0.0000 0.0000 0.0000  2 Sn 3.08, 6 Nd 3.45
Nd1 0.2071 0.2071 0.2071  4 Sn 3.16-3.26
Nd2 0.3856 0.3856 0.3856  3 Sn 3.40, 3 Tb 3.45
Nd3 0.6144 0.6144 0.6144  3 Sn 3.40, 3 Tb 3.45
Nd4 0.7929 0.7929 0.7929  4 Sn 3.16-3.26
Sn1 0.1006 0.1006 0.1006  1 Tb 3.08, 7 Nd 3.16-3.40
Sn2 0.8994 0.8994 0.8994  1 Tb 3.08, 7 Nd 3.16-3.40

density: 6.50 g/cm³
total magnetic moment: 0.1 μB per cell
space-group type: R-3m, No. 166



Number 1: formation enthalpy at 0 K 1.40 eV/atom. Number 2: formation enthalpy at 0 K -0.52 eV/atom. Number 3: formation enthalpy at 0 K -0.25 eV/atom.